A relaxed structure of KFeCu2, computed with PBE-GGA.

The space group is C2/m (No. 12) and the conventional cell measures 8.302, 2.694 and 6.977 Å, with angles of 90.00, 94.90 and 90.00 degrees. The inequivalent atoms are K at (0.000, 0.000, 0.000), Fe at (0.000, 0.500, 0.500) and Cu at (0.235, 0.000, 0.648).

The density of states at the Fermi level is 5.5 states/eV per cell. Its energy relative to the lowest polymorph listed for this composition is 0.029 eV per atom. The value obtained for the uncorrected energy is -3.894 eV per atom. For the calculated formation energy, the calculation gives 0.544 eV/atom. For the volume, the calculation gives 155.5 Å³/cell.

=====

A relaxed structure of NaPaInO4, computed with PBE-GGA.

The space group is Imma (No. 74) and the conventional cell measures 6.775, 7.122 and 10.057 Å, with angles of 90.00, 90.00 and 90.00 degrees. The inequivalent atoms are Na at (0.000, 0.250, 0.143), Pa at (0.000, 0.000, 0.500), In at (0.250, 0.250, 0.750), O at (0.000, 0.025, 0.713) and O at (0.202, 0.250, 0.500).

The density of states at the Fermi level is 4.1 states/eV per cell. The value obtained for the uncorrected energy is -7.151 eV per atom. As for the formation energy from raw total energies: -2.381 eV per atom. For the volume, the calculation gives 485.3 Å³/cell.

=====

A relaxed structure of AcMg2Zn6, computed with PBE-GGA.

The space group is Immm (No. 71) and the conventional cell measures 4.140, 7.277 and 12.570 Å, with angles of 90.00, 90.00 and 90.00 degrees. The inequivalent atoms are Ac at (0.000, 0.000, 0.000), Mg at (0.000, 0.500, 0.126), Zn at (0.000, 0.169, 0.500) and Zn at (0.000, 0.295, 0.312).

The density of states at the Fermi level is 7.9 states/eV per cell. Its energy relative to the lowest polymorph listed for this composition is 0.000 eV per atom. The value obtained for the uncorrected energy is -1.801 eV per atom. For the calculated formation energy, the calculation gives -0.141 eV/atom. For the volume, the calculation gives 378.7 Å³/cell.

=====

A relaxed structure of Ac5NdMg4, computed with PBE-GGA.

The space group is P4/mmm (No. 123) and the conventional cell measures 4.074, 4.074 and 21.748 Å, with angles of 90.00, 90.00 and 90.00 degrees. The inequivalent atoms are Ac at (0.000, 0.000, 0.000), Ac at (0.000, 0.000, 0.191), Ac at (0.000, 0.000, 0.383), Nd at (0.500, 0.500, 0.500), Mg at (0.500, 0.500, 0.096) and Mg at (0.500, 0.500, 0.288).

The density of states at the Fermi level is 10.3 states/eV per cell. The value obtained for the uncorrected energy is -3.225 eV per atom. For the calculated formation energy, the calculation gives -0.056 eV/atom. For the volume, the calculation gives 360.9 Å³/cell.

=====

A relaxed structure of Dy12CoPt6, computed with PBE-GGA.

The space group is R-3 (No. 148, hexagonal axes) and the conventional cell measures 12.4138, 12.4138 and 11.6517 Å, with angles of 90.00, 90.00 and 120.00 degrees. The inequivalent atoms are Dy at (0.0288, 0.2165, 0.3943), Dy at (0.0442, 0.2001, 0.8850), Co at (0.0000, 0.0000, 0.0000) and Pt at (0.0465, 0.2659, 0.6470).

The density of states at the Fermi level is 53.8 states/eV per cell. The value obtained for the uncorrected energy is -6.011 eV per atom. For the calculated formation energy, the calculation gives -0.823 eV/atom. For the volume, the calculation gives 1555.0 Å³/cell.

=====

A relaxed structure of Rb2BiTeF6, computed with PBE-GGA.

The space group is I4/mmm (No. 139) and the conventional cell measures 6.565, 6.565 and 11.530 Å, with angles of 90.00, 90.00 and 90.00 degrees. The inequivalent atoms are Rb at (0.000, 0.500, 0.250), Bi at (0.000, 0.000, 0.000), Te at (0.000, 0.000, 0.500), F at (0.000, 0.000, 0.196) and F at (0.246, 0.246, 0.000).

The density of states at the Fermi level is 4.5 states/eV per cell. The value obtained for the uncorrected energy is -4.106 eV per atom. As for the formation energy from raw total energies: -2.088 eV per atom. For the volume, the calculation gives 497.0 Å³/cell.

=====

A relaxed structure of Ni2TeAu2, computed with PBE-GGA.

The space group is P4/mbm (No. 127) and the conventional cell measures 7.542, 7.542 and 2.993 Å, with angles of 90.00, 90.00 and 90.00 degrees. The inequivalent atoms are Ni at (0.156, 0.344, 0.000), Te at (0.000, 0.000, 0.500) and Au at (0.138, 0.638, 0.500).

The density of states at the Fermi level is 5.6 states/eV per cell. Its energy relative to the lowest polymorph listed for this composition is 0.125 eV per atom. The value obtained for the uncorrected energy is -4.021 eV per atom. As for the formation energy from raw total energies: 0.231 eV per atom. For the volume, the calculation gives 170.2 Å³/cell.

=====

A relaxed structure of Ho4Ag3Sn, computed with PBE-GGA.

The space group is I4/mmm (No. 139) and the conventional cell measures 5.151, 5.151 and 14.742 Å, with angles of 90.00, 90.00 and 90.00 degrees. The inequivalent atoms are Ho at (0.000, 0.500, 0.129), Ag at (0.000, 0.000, 0.000), Ag at (0.000, 0.000, 0.246) and Sn at (0.000, 0.000, 0.500).

The density of states at the Fermi level is 10.5 states/eV per cell. The value obtained for the uncorrected energy is -4.278 eV per atom. For the calculated formation energy, the calculation gives -0.420 eV/atom. For the volume, the calculation gives 391.2 Å³/cell.

=====

A relaxed structure of Ba2AcLu, computed with PBE-GGA.

The space group is R-3m (No. 166, hexagonal axes) and the conventional cell measures 3.8614, 3.8614 and 42.3525 Å, with angles of 90.00, 90.00 and 120.00 degrees. The inequivalent atoms are Ba at (0.0000, 0.0000, 0.0835), Ac at (0.0000, 0.0000, 0.5000) and Lu at (0.0000, 0.0000, 0.0000).

The density of states at the Fermi level is 17.2 states/eV per cell. The value obtained for the uncorrected energy is -2.746 eV per atom. For the calculated formation energy, the calculation gives 0.373 eV/atom. For the volume, the calculation gives 546.9 Å³/cell.

=====

A relaxed structure of InCuSe2O8, computed with PBE-GGA.

The space group is I-4m2 (No. 119) and the conventional cell measures 7.042, 7.042 and 6.202 Å, with angles of 90.00, 90.00 and 90.00 degrees. The inequivalent atoms are In at (0.000, 0.000, 0.000), Cu at (0.000, 0.500, 0.250), Se at (0.000, 0.000, 0.500), Se at (0.000, 0.500, 0.750), O at (0.000, 0.185, 0.317) and O at (0.000, 0.317, 0.924).

The density of states at the Fermi level is 11.5 states/eV per cell. The value obtained for the uncorrected energy is -5.105 eV per atom. As for the formation energy from raw total energies: -0.650 eV per atom. For the volume, the calculation gives 307.5 Å³/cell.

=====

A relaxed structure of SrRu2Pt, computed with PBE-GGA.

The space group is Fm-3m (No. 225) and the conventional cell measures 6.636, 6.636 and 6.636 Å, with angles of 90.00, 90.00 and 90.00 degrees. The inequivalent atoms are Sr at (0.000, 0.000, 0.000), Ru at (0.250, 0.250, 0.250) and Pt at (0.000, 0.000, 0.500).

The density of states at the Fermi level is 20.7 states/eV per cell. Its energy relative to the lowest polymorph listed for this composition is 0.611 eV per atom. The value obtained for the uncorrected energy is -5.884 eV per atom. For the calculated formation energy, the calculation gives 0.684 eV/atom. For the volume, the calculation gives 292.3 Å³/cell.

=====

A relaxed structure of BaHo2Ag, computed with PBE-GGA.

The space group is P4/mmm (No. 123) and the conventional cell measures 3.717, 3.717 and 9.593 Å, with angles of 90.00, 90.00 and 90.00 degrees. The inequivalent atoms are Ba at (0.000, 0.000, 0.000), Ho at (0.500, 0.500, 0.324) and Ag at (0.000, 0.000, 0.500).

The density of states at the Fermi level is 5.5 states/eV per cell. The value obtained for the uncorrected energy is -3.468 eV per atom. For the calculated formation energy, the calculation gives 0.014 eV/atom. For the volume, the calculation gives 132.5 Å³/cell.

=====

A relaxed structure of YTi2As2, computed with PBE-GGA.

The space group is I4/mmm (No. 139) and the conventional cell measures 4.859, 4.859 and 8.590 Å, with angles of 90.00, 90.00 and 90.00 degrees. The inequivalent atoms are Y at (0.000, 0.000, 0.000), Ti at (0.000, 0.000, 0.349) and As at (0.000, 0.500, 0.250).

The density of states at the Fermi level is 9.3 states/eV per cell. Its energy relative to the lowest polymorph listed for this composition is 0.335 eV per atom. The value obtained for the uncorrected energy is -6.908 eV per atom. For the calculated formation energy, the calculation gives -0.597 eV/atom. For the volume, the calculation gives 202.8 Å³/cell.

=====

A relaxed structure of La2TmBi, computed with PBE-GGA.

The space group is R-3m (No. 166, hexagonal axes) and the conventional cell measures 3.6049, 3.6049 and 37.4392 Å, with angles of 90.00, 90.00 and 120.00 degrees. The inequivalent atoms are La at (0.0000, 0.0000, 0.0886), Tm at (0.0000, 0.0000, 0.5000) and Bi at (0.0000, 0.0000, 0.0000).

The density of states at the Fermi level is 15.3 states/eV per cell. Its energy relative to the lowest polymorph listed for this composition is 0.430 eV per atom. The value obtained for the uncorrected energy is -4.550 eV per atom. For the calculated formation energy, the calculation gives 0.002 eV/atom. For the volume, the calculation gives 421.3 Å³/cell.

=====

A relaxed structure of K3FeCl5, computed with PBE-GGA.

The space group is I4/mcm (No. 140) and the conventional cell measures 8.624, 8.624 and 14.197 Å, with angles of 90.00, 90.00 and 90.00 degrees. The inequivalent atoms are K at (0.000, 0.000, 0.250), K at (0.165, 0.335, 0.000), Fe at (0.000, 0.500, 0.250), Cl at (0.000, 0.000, 0.000) and Cl at (0.147, 0.353, 0.350).

The density of states at the Fermi level is 28.9 states/eV per cell. The value obtained for the uncorrected energy is -3.869 eV per atom. As for the formation energy from raw total energies: -1.537 eV per atom. For the volume, the calculation gives 1055.9 Å³/cell.

=====

A relaxed structure of RbHfF2, computed with PBE-GGA.

The space group is Fm-3m (No. 225) and the conventional cell measures 6.826, 6.826 and 6.826 Å, with angles of 90.00, 90.00 and 90.00 degrees. The inequivalent atoms are Rb at (0.000, 0.000, 0.000), Hf at (0.000, 0.000, 0.500) and F at (0.250, 0.250, 0.250).

The density of states at the Fermi level is 13.5 states/eV per cell. Its energy relative to the lowest polymorph listed for this composition is 1.376 eV per atom. The value obtained for the uncorrected energy is -4.496 eV per atom. As for the formation energy from raw total energies: -0.830 eV per atom. For the volume, the calculation gives 318.0 Å³/cell.

=====

A relaxed structure of Na2PmI4, computed with PBE-GGA.

The space group is I4/mmm (No. 139) and the conventional cell measures 6.250, 6.250 and 16.033 Å, with angles of 90.00, 90.00 and 90.00 degrees. The inequivalent atoms are Na at (0.000, 0.000, 0.119), Pm at (0.000, 0.000, 0.500), I at (0.000, 0.000, 0.309) and I at (0.000, 0.500, 0.000).

The density of states at the Fermi level is 6.4 states/eV per cell. Its energy relative to the lowest polymorph listed for this composition is 0.008 eV per atom. The value obtained for the uncorrected energy is -2.989 eV per atom. As for the formation energy from raw total energies: -1.048 eV per atom. For the volume, the calculation gives 626.3 Å³/cell.

=====

A relaxed structure of Ho8Ir3Pb2, computed with PBE-GGA.

The space group is Cmmm (No. 65) and the conventional cell measures 9.777, 15.041 and 4.862 Å, with angles of 90.00, 90.00 and 90.00 degrees. The inequivalent atoms are Ho at (0.000, 0.107, 0.000), Ho at (0.000, 0.388, 0.000), Ho at (0.246, 0.390, 0.500), Ir at (0.000, 0.500, 0.500), Ir at (0.250, 0.000, 0.000) and Pb at (0.000, 0.244, 0.500).

The density of states at the Fermi level is 14.2 states/eV per cell. The value obtained for the uncorrected energy is -6.030 eV per atom. For the calculated formation energy, the calculation gives -0.597 eV/atom. For the volume, the calculation gives 714.9 Å³/cell.

=====

A relaxed structure of CaVBr2, computed with PBE-GGA.

The space group is R-3m (No. 166, hexagonal axes) and the conventional cell measures 3.9116, 3.9116 and 26.8307 Å, with angles of 90.00, 90.00 and 120.00 degrees. The inequivalent atoms are Ca at (0.0000, 0.0000, 0.0000), V at (0.0000, 0.0000, 0.5000) and Br at (0.0000, 0.0000, 0.4003).

The density of states at the Fermi level is 9.3 states/eV per cell. Its energy relative to the lowest polymorph listed for this composition is 0.000 eV per atom. The value obtained for the uncorrected energy is -4.130 eV per atom. As for the formation energy from raw total energies: -0.514 eV per atom. For the volume, the calculation gives 355.5 Å³/cell.

=====

A relaxed structure of ScNi2Pd2, computed with PBE-GGA.

The space group is P4/mbm (No. 127) and the conventional cell measures 7.066, 7.066 and 3.001 Å, with angles of 90.00, 90.00 and 90.00 degrees. The inequivalent atoms are Sc at (0.000, 0.000, 0.000), Ni at (0.159, 0.341, 0.500) and Pd at (0.138, 0.638, 0.000).

The density of states at the Fermi level is 12.1 states/eV per cell. Its energy relative to the lowest polymorph listed for this composition is 0.085 eV per atom. The value obtained for the uncorrected energy is -5.884 eV per atom. For the calculated formation energy, the calculation gives -0.228 eV/atom. For the volume, the calculation gives 149.9 Å³/cell.